(1)
Below is a relaxed structure of ScTaIn4, with properties calculated at the GGA-PBE level.

Output
The space group is No. 216. The density of states at the Fermi level is 0.74 states/eV/f.u. Its formation energy is 266 meV/atom. Its raw total energy is -4.590 eV per atom. As for the density: 8.6 Mg/m³.

Cell: 5.714 5.714 5.714 Å, 60.00 60.00 60.00°
Fractional coordinates of all 6 atoms:
1 Sc 0.750 0.750 0.750
2 Ta 0.000 0.000 0.000
3 In 0.375 0.375 0.876
4 In 0.375 0.876 0.375
5 In 0.375 0.375 0.375
6 In 0.876 0.375 0.375

(2)
Below is a relaxed structure of Li2Re3, with properties calculated at the GGA-PBE level.

Output
The space group is No. 70. The density of states at the Fermi level is 3.93 states/eV/f.u. Its formation energy is 490 meV/atom. Its raw total energy is -7.744 eV per atom. As for the density: 13.7 Mg/m³.

Cell: 8.078 7.114 5.029 Å, 81.45 60.56 38.00°
Fractional coordinates of all 10 atoms:
1 Re 0.695 0.495 0.305
2 Re 0.755 0.555 0.745
3 Re 0.100 0.900 0.900
4 Re 0.350 0.150 0.150
5 Re 0.945 0.745 0.555
6 Re 0.505 0.305 0.495
7 Li 0.555 0.355 0.945
8 Li 0.305 0.105 0.695
9 Li 0.145 0.945 0.355
10 Li 0.895 0.695 0.105

(3)
Below is a relaxed structure of PH5Se2, with properties calculated at the GGA-PBE level.

Output
The space group is No. 1. The density of states at the Fermi level is 0.00 states/eV/f.u. The calculation puts the excess energy over the best structure of this formula in the dataset at 0 meV/atom. Its raw total energy is -3.644 eV per atom. As for the density: 2.3 Mg/m³.

Cell: 5.801 8.040 6.373 Å, 142.19 124.65 73.49°
Fractional coordinates of all 8 atoms:
1 H 0.490 0.618 0.273
2 H 0.091 0.009 0.689
3 H 0.589 0.263 0.847
4 H 0.802 0.947 0.980
5 H 0.519 0.570 0.911
6 Se 0.197 0.842 0.736
7 Se 0.717 0.127 0.276
8 P 0.372 0.400 0.841

(4)
Below is a relaxed structure of KCaSi2, with properties calculated at the GGA-PBE level.

Output
The space group is No. 123. The density of states at the Fermi level is 2.24 states/eV/f.u. The calculation puts the excess energy over the best structure of this formula in the dataset at 422 meV/atom. Its raw total energy is -3.233 eV per atom. As for the formation energy without anion corrections: 24 kJ per mole of atoms. As for the density: 2.4 Mg/m³.

Cell: 4.435 4.435 4.746 Å, 90.00 90.00 90.00°
Fractional coordinates of all 4 atoms:
1 Ca 0.500 0.000 0.500
2 K 0.000 0.500 0.500
3 Si 0.000 0.000 0.000
4 Si 0.500 0.500 0.000

(5)
Below is a relaxed structure of AsIr2Os, with properties calculated at the GGA-PBE level.

Output
The space group is No. 123. The density of states at the Fermi level is 3.58 states/eV/f.u. Its formation energy is 387 meV/atom. Its raw total energy is -8.013 eV per atom. As for the density: 18.2 Mg/m³.

Cell: 3.956 3.866 3.866 Å, 90.00 90.00 90.00°
Fractional coordinates of all 4 atoms:
1 Ir 0.000 0.500 0.500
2 Ir 0.000 0.000 0.000
3 Os 0.500 0.500 0.000
4 As 0.500 0.000 0.500

(6)
Below is a relaxed structure of Pr4DyEr6, with properties calculated at the GGA-PBE level.

Output
The space group is No. 121. The density of states at the Fermi level is 13.93 states/eV/f.u. The calculation puts the excess energy over the best structure of this formula in the dataset at 0 meV/atom. Its formation energy is 295 meV/atom. Its raw total energy is -4.350 eV per atom. As for the density: 7.6 Mg/m³.

Cell: 9.716 9.716 9.716 Å, 58.12 139.82 139.82°
Fractional coordinates of all 11 atoms:
1 Pr 0.620 0.986 0.986
2 Pr 0.380 0.366 0.366
3 Pr 0.000 0.634 0.014
4 Pr 0.000 0.014 0.634
5 Er 0.356 0.555 0.555
6 Er 0.500 0.000 0.500
7 Er 0.644 0.199 0.199
8 Er 0.000 0.801 0.445
9 Er 0.500 0.500 0.000
10 Er 0.000 0.445 0.801
11 Dy 0.000 0.000 0.000

(7)
Below is a relaxed structure of Ga2CuRe, with properties calculated at the GGA-PBE level.

Output
The space group is No. 166. The density of states at the Fermi level is 3.07 states/eV/f.u. The calculation puts the excess energy over the best structure of this formula in the dataset at 6 meV/atom. Its formation energy is 101 meV/atom. Its raw total energy is -5.548 eV per atom. As for the density: 11.0 Mg/m³.

Cell: 2.833 2.833 8.592 Å, 80.51 80.51 60.00°
Fractional coordinates of all 4 atoms:
1 Re 0.000 0.000 0.000
2 Cu 0.500 0.500 0.500
3 Ga 0.752 0.752 0.743
4 Ga 0.248 0.248 0.257

(8)
Below is a relaxed structure of BaPrNd2Se4, with properties calculated at the GGA-PBE level.

Output
The space group is No. 10. The density of states at the Fermi level is 3.39 states/eV/f.u. Its raw total energy is -5.622 eV per atom. As for the formation energy without anion corrections: -179 kJ per mole of atoms. As for the density: 6.3 Mg/m³.

Cell: 4.304 7.552 7.542 Å, 71.11 90.00 90.00°
Fractional coordinates of all 8 atoms:
1 Nd 0.000 0.000 0.000
2 Nd 0.500 0.000 0.500
3 Pr 0.500 0.500 0.000
4 Se 0.500 0.232 0.766
5 Se 0.000 0.240 0.244
6 Se 0.000 0.760 0.756
7 Se 0.500 0.768 0.234
8 Ba 0.000 0.500 0.500